Record 1
This record from the Open Quantum Materials Database describes an optimized crystal structure of SmReNO. The functional is PBE.

- distance to the lowest polymorph of the same formula (eV per atom) = 0.323

Cell lengths 3.840, 5.398, 5.063 Å; angles 90.00, 90.00, 90.00 degrees
Space group Pmc2_1 (No. 26)
One atom of each set of equivalent atoms:
Sm  0.000  0.205  0.000 [2 per cell]
Re  0.500  0.338  0.499 [2 per cell]
N  0.000  0.330  0.499 [2 per cell]
O  0.500  0.001  0.753 [2 per cell]

***

Record 2
This record from the Open Quantum Materials Database describes an optimized crystal structure of SmReNO. The functional is PBE.

- distance to the lowest polymorph of the same formula (eV per atom) = 1.013

Cell lengths 4.870, 4.870, 4.401 Å; angles 90.00, 90.00, 90.00 degrees
Space group P4/nmm (No. 129, origin choice 2)
One atom of each set of equivalent atoms:
Sm  0.250  0.750  0.000 [2 per cell]
Re  0.250  0.250  0.499 [2 per cell]
N  0.250  0.250  0.999 [2 per cell]
O  0.250  0.750  0.500 [2 per cell]

***

Record 3
This record from the Open Quantum Materials Database describes an optimized crystal structure of ReSnNO. The functional is PBE.

- distance to the lowest polymorph of the same formula (eV per atom) = 0.011

Cell lengths 6.820, 7.584, 4.918 Å; angles 90.00, 90.00, 90.00 degrees
Space group Pca2_1 (No. 29)
One atom of each set of equivalent atoms:
Re  0.040  0.059  0.000 [4 per cell]
Sn  0.064  0.676  0.963 [4 per cell]
N  0.198  0.056  0.663 [4 per cell]
O  0.111  0.714  0.470 [4 per cell]

***

Record 4
This record from the Open Quantum Materials Database describes an optimized crystal structure of ReSnNO. The functional is PBE.

- distance to the lowest polymorph of the same formula (eV per atom) = 0.063

Cell lengths 2.932, 6.384, 6.656 Å; angles 90.00, 90.00, 90.00 degrees
Space group Pmc2_1 (No. 26)
One atom of each set of equivalent atoms:
Re  0.000  0.084  0.000 [2 per cell]
Sn  0.500  0.316  0.454 [2 per cell]
N  0.000  0.107  0.730 [2 per cell]
O  0.500  0.272  0.112 [2 per cell]

***

Record 5
This record from the Open Quantum Materials Database describes an optimized crystal structure of ReSnNO. The functional is PBE.

- distance to the lowest polymorph of the same formula (eV per atom) = 0.120

Cell lengths 3.843, 3.843, 8.482 Å; angles 90.00, 90.00, 90.00 degrees
Space group P4/nmm (No. 129, origin choice 2)
One atom of each set of equivalent atoms:
Re  0.250  0.750  0.000 [2 per cell]
Sn  0.250  0.250  0.362 [2 per cell]
N  0.250  0.250  0.915 [2 per cell]
O  0.250  0.750  0.500 [2 per cell]

***

Record 6
This record from the Open Quantum Materials Database describes an optimized crystal structure of ReSnNO. The functional is PBE.

- distance to the lowest polymorph of the same formula (eV per atom) = 0.563

Cell lengths 4.059, 4.059, 8.736 Å; angles 90.00, 90.00, 90.00 degrees
Space group P4/nmm (No. 129, origin choice 2)
One atom of each set of equivalent atoms:
Re  0.250  0.250  0.078 [2 per cell]
Sn  0.250  0.750  0.500 [2 per cell]
N  0.250  0.250  0.275 [2 per cell]
O  0.250  0.750  0.000 [2 per cell]

***

Record 7
This record from the Open Quantum Materials Database describes an optimized crystal structure of ReSnNO. The functional is PBE.

- distance to the lowest polymorph of the same formula (eV per atom) = 0.000

Cell lengths 2.886, 5.426, 7.329 Å; angles 90.00, 90.00, 90.00 degrees
Space group Pmc2_1 (No. 26)
One atom of each set of equivalent atoms:
Re  0.000  0.024  0.000 [2 per cell]
Sn  0.500  0.393  0.371 [2 per cell]
N  0.500  0.280  0.056 [2 per cell]
O  0.000  0.088  0.746 [2 per cell]

***

Record 8
This record from the Open Quantum Materials Database describes an optimized crystal structure of Sr2Re2NO5. The functional is PBE.

Cell lengths 3.977, 3.977, 7.867 Å; angles 90.00, 90.00, 90.00 degrees
Space group P4/mmm (No. 123)
One atom of each set of equivalent atoms:
Sr  0.000  0.000  0.000 [1 per cell]
Sr  0.000  0.000  0.500 [1 per cell]
Re  0.500  0.500  0.238 [2 per cell]
N  0.500  0.500  0.000 [1 per cell]
O  0.000  0.500  0.256 [4 per cell]
O  0.500  0.500  0.500 [1 per cell]

***

Record 9
This record from the Open Quantum Materials Database describes an optimized crystal structure of TbReNO. The functional is PBE.

- distance to the lowest polymorph of the same formula (eV per atom) = 0.286

Cell lengths 3.833, 5.330, 4.964 Å; angles 90.00, 90.00, 90.00 degrees
Space group Pmc2_1 (No. 26)
One atom of each set of equivalent atoms:
Tb  0.000  0.208  0.000 [2 per cell]
Re  0.500  0.341  0.498 [2 per cell]
N  0.000  0.331  0.498 [2 per cell]
O  0.500  0.012  0.766 [2 per cell]

***

Record 10
This record from the Open Quantum Materials Database describes an optimized crystal structure of TbReNO. The functional is PBE.

- distance to the lowest polymorph of the same formula (eV per atom) = 0.844

Cell lengths 4.878, 4.878, 4.292 Å; angles 90.00, 90.00, 90.00 degrees
Space group P4/nmm (No. 129, origin choice 2)
One atom of each set of equivalent atoms:
Tb  0.250  0.750  0.000 [2 per cell]
Re  0.250  0.250  0.499 [2 per cell]
N  0.250  0.250  0.999 [2 per cell]
O  0.250  0.750  0.500 [2 per cell]

***

Record 11
This record from the Open Quantum Materials Database describes an optimized crystal structure of TbReNO. The functional is PBE.

- distance to the lowest polymorph of the same formula (eV per atom) = 0.563

Cell lengths 3.247, 5.653, 6.260 Å; angles 90.00, 90.00, 90.00 degrees
Space group Pmc2_1 (No. 26)
One atom of each set of equivalent atoms:
Tb  0.000  0.176  0.000 [2 per cell]
Re  0.500  0.328  0.456 [2 per cell]
N  0.500  0.422  0.174 [2 per cell]
O  0.000  0.180  0.647 [2 per cell]

***

Record 12
This record from the Open Quantum Materials Database describes an optimized crystal structure of TbReNO. The functional is PBE.

- distance to the lowest polymorph of the same formula (eV per atom) = 0.000

Cell lengths 5.460, 8.630, 4.759 Å; angles 90.00, 90.00, 90.00 degrees
Space group Pca2_1 (No. 29)
One atom of each set of equivalent atoms:
Tb  0.021  0.156  0.000 [4 per cell]
Re  0.121  0.511  0.148 [4 per cell]
N  0.114  0.650  0.813 [4 per cell]
O  0.093  0.088  0.531 [4 per cell]

***

no.,total DFT energy (no corrections) (eV/cell),volume (A^3/atom)
1,-70.671,13.119
2,-65.151,13.044
3,-122.895,15.901
4,-61.032,15.569
5,-60.577,15.658
6,-57.028,17.993
7,-61.534,14.345
8,-79.597,12.443
9,-70.723,12.676
10,-66.260,12.766
11,-68.508,14.363
12,-146.020,14.016